Density functional theory data (meta-GGA SCAN) for a crystal of K4UC3O11 relaxed with PBEsol.

Uncorrected formation energy (eV/f.u.): -42.06
Volume (Å³/f.u.): 286.2
Space group: No. 15
DOS at the Fermi energy (states/eV/cell): 0.0
Uncorrected energy (hartree per atom): -0.537

abc: 6.8807 6.8807 12.2068
angles: 86.37 86.37 83.68
Last column: nearest neighbours and their distance in Å.
Fractional positions:
1 O 0.9592 0.9173 0.1613  1 C 1.31
2 O 0.6316 0.0368 0.3204  1 U 1.84
3 O 0.3513 0.6487 0.2500  1 C 1.26
4 O 0.7129 0.0821 0.0778  1 C 1.32
5 O 0.2199 0.1718 0.4761  1 C 1.25
6 O 0.9179 0.2871 0.4222  1 C 1.32
7 O 0.6487 0.3513 0.7500  1 C 1.26
8 O 0.4753 0.6090 0.8302  1 C 1.32
9 O 0.3910 0.5247 0.6698  1 C 1.32
10 O 0.5247 0.3910 0.1698  1 C 1.32
11 O 0.0827 0.0408 0.3387  1 C 1.31
12 O 0.0408 0.0827 0.8387  1 C 1.31
13 O 0.7801 0.8282 0.5239  1 C 1.25
14 O 0.6090 0.4753 0.3302  1 C 1.32
15 O 0.3684 0.9632 0.6796  1 U 1.84
16 O 0.2871 0.9179 0.9222  1 C 1.32
17 O 0.0368 0.6316 0.8204  1 U 1.84
18 O 0.9632 0.3684 0.1796  1 U 1.84
19 O 0.0821 0.7129 0.5778  1 C 1.32
20 O 0.8282 0.7801 0.0239  1 C 1.25
21 O 0.9173 0.9592 0.6613  1 C 1.31
22 O 0.1718 0.2199 0.9761  1 C 1.25
23 K 0.4250 0.7868 0.4566  6 O 2.68-2.88
24 K 0.2132 0.5750 0.0434  6 O 2.68-2.88
25 K 0.3352 0.0329 0.1576  7 O 2.72-2.94
26 K 0.5750 0.2132 0.5434  6 O 2.68-2.88
27 K 0.7868 0.4250 0.9566  6 O 2.68-2.88
28 K 0.9671 0.6648 0.3424  7 O 2.72-2.94
29 K 0.0329 0.3352 0.6576  7 O 2.72-2.94
30 K 0.6648 0.9671 0.8424  7 O 2.72-2.94
31 C 0.8338 0.9200 0.0844  3 O 1.25-1.32
32 C 0.0800 0.1662 0.4156  3 O 1.25-1.32
33 C 0.9200 0.8338 0.5844  3 O 1.25-1.32
34 C 0.4886 0.5114 0.2500  3 O 1.26-1.32
35 C 0.5114 0.4886 0.7500  3 O 1.26-1.32
36 C 0.1662 0.0800 0.9156  3 O 1.25-1.32
37 U 0.2005 0.7995 0.7500  2 O 1.84
38 U 0.7995 0.2005 0.2500  2 O 1.84